Entry 1:
A geometry-optimized Er3Si2Rh3 structure. Source: Alexandria, functional PBE.

Cell and atoms, written as POSCAR:
```
Er3Si2Rh3
1.0
-5.015 -1.320 -1.816
2.735 -0.900 -6.900
2.677 -14.167 2.908
Er Si Rh
12 8 12
Cartesian
1.681 -6.165 -2.370
-1.478 -9.463 0.438
-0.520 -14.265 -2.607
1.111 -2.881 -7.075
-1.284 -10.222 -3.437
1.875 -6.924 -6.245
0.917 -2.122 -3.200
-0.714 -13.506 1.268
-1.478 -4.644 -2.664
1.923 -10.921 0.819
1.875 -11.744 -3.143
-1.527 -5.466 -6.626
-2.981 -6.864 -1.282
0.782 -9.397 -1.520
4.156 -13.643 -3.680
-1.164 -2.871 -5.132
3.378 -9.524 -4.526
-0.386 -6.990 -4.287
-3.759 -2.745 -2.127
1.561 -13.516 -0.675
0.667 -3.836 -0.704
-0.127 -11.704 -1.106
-0.270 -12.551 -5.103
0.523 -4.684 -4.702
-0.855 -7.641 -2.015
1.415 -7.893 0.212
2.391 -14.774 -2.555
-2.157 -2.466 -7.257
1.252 -8.746 -3.792
-1.018 -8.494 -6.019
-1.994 -1.613 -3.252
2.554 -13.921 1.449
```

**Space group**: Pnma
**Raw formation energy**: -100.9 kJ/mol of atoms


Entry 2:
A geometry-optimized ErSi2Rh4 structure. Source: Alexandria, functional PBE.

Cell and atoms, written as POSCAR:
```
ErSi2Rh4
1.0
4.028 0.000 0.000
0.000 6.377 0.000
0.000 0.000 16.619
Er Si Rh
4 8 16
Cartesian
3.021 6.339 10.604
1.007 0.038 6.016
1.007 3.151 14.325
3.021 3.226 2.294
1.007 4.719 8.960
3.021 1.658 7.659
3.021 1.530 15.969
1.007 4.847 0.651
1.007 6.220 12.996
3.021 0.157 3.623
3.021 3.031 11.933
1.007 3.346 4.686
1.007 1.713 11.548
3.021 4.664 5.071
3.021 4.901 13.380
1.007 1.476 3.239
1.007 4.403 11.366
3.021 1.974 5.253
3.021 1.215 13.562
1.007 5.162 3.057
1.007 0.922 8.806
3.021 5.455 7.813
3.021 4.110 16.123
1.007 2.267 0.496
1.007 3.208 7.064
3.021 3.169 9.556
3.021 0.019 1.246
1.007 6.358 15.373
```

**Space group**: Pnma
**Raw formation energy**: -89.6 kJ/mol of atoms
**ΔE to the lowest computed polymorph**: 0.000 eV per atom


Entry 3:
A geometry-optimized Er2Si3Rh2 structure. Source: Alexandria, functional PBE.

Cell and atoms, written as POSCAR:
```
Er2Si3Rh2
1.0
-2.521 -2.983 -1.404
2.963 -1.592 4.199
-5.108 3.501 1.731
Er Si Rh
2 3 2
Cartesian
-1.239 -2.837 2.117
-3.428 1.763 2.408
-1.260 -1.492 -0.702
-3.131 -0.639 0.845
-1.535 -0.435 3.681
-3.952 -1.053 3.198
-0.714 -0.022 1.328
```

**Space group**: C2/m
**Raw formation energy**: -83.8 kJ/mol of atoms
**ΔE to the lowest computed polymorph**: 0.106 eV per atom


Entry 4:
A geometry-optimized Er4Si6Rh7 structure. Source: Alexandria, functional PBE.

Cell and atoms, written as POSCAR:
```
Er4Si6Rh7
1.0
6.732 0.000 -2.380
-3.366 5.830 -2.380
0.000 0.000 7.140
Er Si Rh
4 6 7
Cartesian
3.366 0.000 -1.190
1.683 2.915 1.190
-1.683 2.915 -1.190
0.000 0.000 3.570
4.526 0.000 3.201
2.263 3.920 -3.201
-1.103 1.910 1.560
2.206 0.000 1.560
1.103 1.910 -1.560
-2.263 3.920 3.201
3.366 2.915 -1.190
-0.841 4.373 1.190
0.841 4.373 -1.190
4.207 1.458 1.190
0.000 2.915 3.570
2.524 1.458 3.570
0.000 0.000 0.000
```

**Space group**: Im-3m
**Raw formation energy**: -102.1 kJ/mol of atoms


Entry 5:
A geometry-optimized Er2Si4Rh3 structure. Source: Alexandria, functional PBE.

Cell and atoms, written as POSCAR:
```
Er2Si4Rh3
1.0
-1.861 -2.007 4.728
4.606 -1.942 -2.204
1.750 6.031 1.689
Er Si Rh
2 4 3
Cartesian
2.218 -0.877 2.061
2.277 2.959 2.152
4.211 2.777 -0.235
0.031 2.735 4.245
0.284 -0.695 4.448
4.464 -0.653 -0.032
-0.930 -1.004 2.364
0.000 0.000 0.000
2.303 -0.971 -1.102
```

**Space group**: Fmmm
**Raw formation energy**: -76.1 kJ/mol of atoms


Entry 6:
A geometry-optimized ErSi4Rh2 structure. Source: Alexandria, functional PBE.

Cell and atoms, written as POSCAR:
```
ErSi4Rh2
1.0
-5.299 0.381 -1.400
-3.939 -2.324 3.380
-3.040 4.446 1.824
Er Si Rh
1 4 2
Cartesian
-2.649 0.191 -0.700
-5.705 0.793 0.161
-3.253 2.844 2.191
-9.025 -0.342 1.612
-6.572 1.709 3.642
-4.818 1.157 2.255
-7.460 1.345 1.549
```

**Space group**: C2/m
**Raw formation energy**: -45.5 kJ/mol of atoms


Entry 7:
A geometry-optimized Er2SiRh structure. Source: Alexandria, functional PBE.

Cell and atoms, written as POSCAR:
```
Er2SiRh
1.0
-1.367 0.368 3.724
-2.044 -3.524 -0.402
5.178 -0.853 1.985
Er Si Rh
2 1 1
Cartesian
2.982 -4.281 1.518
1.511 -1.196 2.804
-1.262 -1.856 1.851
0.642 -2.809 0.514
```

**Space group**: Amm2
**Raw formation energy**: -84.0 kJ/mol of atoms


Entry 8:
A geometry-optimized ErSi3Rh structure. Source: Alexandria, functional PBE.

Cell and atoms, written as POSCAR:
```
ErSi3Rh
1.0
-3.091 -4.572 1.025
4.384 -2.858 0.300
0.297 1.035 5.513
Er Si Rh
2 6 2
Cartesian
2.270 -2.047 4.554
-0.679 -4.348 2.284
1.957 -4.546 6.344
-0.230 -1.377 3.005
1.598 -2.773 1.865
-0.366 -1.849 0.494
-0.007 -3.623 4.973
1.821 -5.018 3.833
-2.328 -4.076 5.183
3.919 -2.319 1.655
```

**Space group**: P2_1/m
**Raw formation energy**: -60.8 kJ/mol of atoms


Entry 9:
A geometry-optimized Er2Si3Rh2 structure. Source: Alexandria, functional PBE.

Cell and atoms, written as POSCAR:
```
Er2Si3Rh2
1.0
-1.099 -0.643 -3.814
4.426 -5.317 -0.378
-5.731 -5.099 4.630
Er Si Rh
4 6 4
Cartesian
-0.864 -3.030 0.760
-1.540 -8.030 -0.321
-5.015 -6.460 0.415
2.611 -4.599 0.023
0.506 -6.416 0.936
-2.910 -4.644 -0.498
0.580 -3.253 -1.738
-2.984 -7.807 2.176
-1.413 -9.695 2.042
-0.991 -1.365 -1.604
1.268 -7.449 -1.228
-3.671 -3.611 1.667
-1.886 -5.755 1.514
-0.517 -5.305 -1.076
```

**Space group**: Cmcm
**Raw formation energy**: -94.0 kJ/mol of atoms
**ΔE to the lowest computed polymorph**: 0.000 eV per atom


Entry 10:
A geometry-optimized Er3Si2Rh5 structure. Source: Alexandria, functional PBE.

Cell and atoms, written as POSCAR:
```
Er3Si2Rh5
1.0
3.524 0.000 0.000
0.000 9.910 0.000
0.000 0.000 9.910
Er Si Rh
6 4 10
Cartesian
0.000 3.235 8.190
0.000 6.675 1.720
0.000 1.720 3.235
0.000 8.190 6.675
0.000 0.000 0.000
0.000 4.955 4.955
0.000 1.222 6.177
0.000 8.687 3.733
0.000 3.733 1.222
0.000 6.177 8.687
1.762 2.185 0.697
1.762 7.725 9.213
1.762 9.213 2.185
1.762 0.697 7.725
1.762 2.770 5.652
1.762 7.140 4.258
1.762 5.652 7.140
1.762 4.258 2.770
1.762 0.000 4.955
1.762 4.955 0.000
```

**Space group**: P4/mbm
**Raw formation energy**: -99.5 kJ/mol of atoms


Entry 11:
A geometry-optimized ErSi2Rh4 structure. Source: Alexandria, functional PBE.

Cell and atoms, written as POSCAR:
```
ErSi2Rh4
1.0
-1.527 -3.274 -0.961
6.890 -2.619 -2.021
1.097 -2.597 7.104
Er Si Rh
2 4 8
Cartesian
-0.763 -1.637 -0.481
3.993 -2.608 2.542
2.427 -2.602 5.009
5.560 -2.614 0.074
5.064 -5.443 3.228
1.396 -3.048 0.894
0.852 -1.036 2.175
7.135 -4.180 2.908
1.058 -3.576 3.230
5.402 -4.915 0.892
3.094 -4.906 4.526
3.366 -3.585 -0.404
2.329 -1.042 -0.151
5.658 -4.175 5.234
```

**Space group**: P4_2/mnm
**Raw formation energy**: -85.5 kJ/mol of atoms
**ΔE to the lowest computed polymorph**: 0.042 eV per atom


Entry 12:
A geometry-optimized Er3Si4Rh2 structure. Source: Alexandria, functional PBE.

Cell and atoms, written as POSCAR:
```
Er3Si4Rh2
1.0
-4.058 -0.198 0.755
1.153 -1.183 -5.421
1.096 -6.736 4.126
Er Si Rh
3 4 2
Cartesian
-1.476 -5.105 2.039
0.000 0.000 0.000
-0.334 -3.012 -2.580
-2.334 -1.155 -1.534
0.524 -6.962 0.994
-2.097 -5.136 -1.307
0.288 -2.980 0.766
-1.961 -3.014 -0.021
0.152 -5.103 -0.519
```

**Space group**: C2/m
**Raw formation energy**: -91.8 kJ/mol of atoms


Entry 13:
A geometry-optimized ErSiRh4 structure. Source: Alexandria, functional PBE.

Cell and atoms, written as POSCAR:
```
ErSiRh4
1.0
-3.212 -1.345 1.703
0.530 -3.437 -1.714
3.853 -2.174 5.551
Er Si Rh
1 1 4
Cartesian
0.000 0.000 0.000
0.586 -3.478 2.770
1.109 -2.204 4.763
2.981 -3.250 3.055
-0.468 -1.314 2.491
1.403 -2.360 0.782
```

**Space group**: P4/mmm
**Raw formation energy**: -35.4 kJ/mol of atoms


Entry 14:
A geometry-optimized Er3SiRh2 structure. Source: Alexandria, functional PBE.

Cell and atoms, written as POSCAR:
```
Er3SiRh2
1.0
3.845 0.000 0.000
0.000 11.873 0.000
0.000 0.000 11.466
Er Si Rh
12 4 8
Cartesian
0.961 4.535 0.661
2.884 7.338 10.805
2.884 10.471 5.072
0.961 1.401 6.393
0.961 8.207 2.296
2.884 3.666 9.169
2.884 2.271 3.437
0.961 9.602 8.029
0.961 5.270 4.267
2.884 6.602 7.198
2.884 11.207 1.465
0.961 0.666 10.000
0.961 1.643 1.388
2.884 10.230 10.078
2.884 7.580 4.345
0.961 4.293 7.120
0.961 8.207 5.582
2.884 3.666 5.884
2.884 2.271 0.151
0.961 9.602 11.315
0.961 0.206 3.494
2.884 11.666 7.972
2.884 6.143 2.239
0.961 5.730 9.226
```

**Space group**: Pnma
**Raw formation energy**: -80.6 kJ/mol of atoms


Entry 15:
A geometry-optimized ErSi4Rh4 structure. Source: Alexandria, functional PBE.

Cell and atoms, written as POSCAR:
```
ErSi4Rh4
1.0
-5.857 0.767 -0.643
-0.981 -5.155 2.787
-0.267 3.834 6.998
Er Si Rh
2 8 8
Cartesian
0.000 0.000 0.000
-3.552 -0.278 4.571
-3.930 -0.568 7.667
-3.347 2.497 6.010
-5.207 -1.292 2.112
-1.725 -1.748 2.494
-1.827 1.470 2.077
-4.203 1.781 1.816
-0.472 1.059 5.559
-0.869 -1.032 6.689
-2.103 0.959 7.368
-5.202 1.365 7.028
-3.712 -3.081 2.681
-3.193 -0.353 1.206
-0.821 -2.352 4.677
-0.360 0.075 3.365
-1.716 2.597 4.201
-4.474 2.958 3.898
```

**Space group**: P4_2/nmc
**Raw formation energy**: -79.3 kJ/mol of atoms


Entry 16:
A geometry-optimized Er2SiRh structure. Source: Alexandria, functional PBE.

Cell and atoms, written as POSCAR:
```
Er2SiRh
1.0
-2.438 -3.059 1.297
4.453 -2.588 2.263
-3.496 4.973 5.157
Er Si Rh
4 2 2
Cartesian
-2.305 -0.794 3.617
0.824 0.119 5.101
2.665 -2.479 2.434
-4.146 1.805 6.284
0.069 -2.538 3.964
-1.551 1.864 4.754
0.281 -0.647 2.275
-1.762 -0.028 6.443
```

**Space group**: P2_1/m
**Raw formation energy**: -82.3 kJ/mol of atoms


Entry 17:
A geometry-optimized Er3Si8Rh3 structure. Source: Alexandria, functional PBE.

Cell and atoms, written as POSCAR:
```
Er3Si8Rh3
1.0
-3.437 -2.114 -1.052
-1.162 -5.074 5.726
-5.708 3.061 4.235
Er Si Rh
3 8 3
Cartesian
-5.154 -2.064 4.454
-4.079 -2.095 1.006
-6.228 -2.032 7.902
-6.024 0.265 2.621
-4.283 -4.392 6.287
-3.408 -4.418 3.479
-6.900 0.290 5.429
-6.864 -4.151 5.969
-3.444 0.023 2.940
-8.034 -2.057 5.585
-2.274 -2.071 3.323
-1.719 -1.057 -0.526
-2.192 -3.232 5.388
-4.678 1.218 4.573
```

**Space group**: Immm
**Raw formation energy**: -63.8 kJ/mol of atoms
**ΔE to the lowest computed polymorph**: 0.037 eV per atom


Entry 18:
A geometry-optimized SmErSiRh structure. Source: Alexandria, functional PBE.

Cell and atoms, written as POSCAR:
```
SmErSiRh
1.0
-2.513 0.722 3.264
-1.553 -3.720 -0.373
4.946 -2.227 1.622
Sm Er Si Rh
1 1 1 1
Cartesian
1.073 -0.543 0.946
0.648 -2.855 3.809
-1.539 -1.749 1.880
3.133 -1.585 2.763
```

**Space group**: Amm2
**Raw formation energy**: -79.5 kJ/mol of atoms


Entry 19:
A geometry-optimized ErSi2TcRh structure. Source: Alexandria, functional PBE.

Cell and atoms, written as POSCAR:
```
ErSi2TcRh
1.0
4.190 0.000 0.000
0.000 4.190 0.000
-2.095 -2.095 4.783
Er Si Tc Rh
1 2 1 1
Cartesian
0.000 0.000 0.000
2.095 2.095 1.229
0.000 0.000 3.554
2.095 0.000 2.392
0.000 2.095 2.392
```

**Space group**: I-4m2
**Raw formation energy**: -87.0 kJ/mol of atoms